Here is crystalline Sr2ReMo at its relaxed geometry from Alexandria. Energies are from PBE.

Unit cell a=4.238 b=4.238 c=9.110 alpha=103.55 beta=103.55 gamma=60.01
Positions (direct):
Sr 0.000 0.000 0.000
Sr 0.180 0.180 0.537
Re 0.752 0.752 0.255
Mo 0.427 0.427 0.280

Results
Total energy: -6.205 eV/atom
SG: Cm, No. 8
Fermi-level density of states: 1.1602 states/eV per atom
ρ: 5.567 Mg/m³
DFT formation energy: 0.46 eV/atom